(1)
The following is a SCAN calculation of Cd2Ag at its PBEsol-relaxed geometry, from the Alexandria database.

Values from the calculation:
- ΔE_f (eV/atom) = -0.0349
- magnetization (μB per cell) = 0.000
- V (Å³/atom) = 18.889
- VASP energy (eV for the cell shown) = -276.90
- energy relative to the lowest polymorph listed for this composition (meV/atom) = 21

Cell: 3.0342 8.0433 8.0433 Å, 120.00 90.00 90.00°
Closest atoms and distances in Å follow each position.
Positions (direct):
Cd1 0.5000 0.6320 0.0000  5 Ag 2.96-2.97, 8 Cd 3.03-3.12
Cd2 0.0000 0.0000 0.2989  4 Ag 2.83-2.84, 8 Cd 3.03-3.12
Cd3 0.0000 0.2989 0.0000  4 Ag 2.83-2.84, 8 Cd 3.03-3.12
Cd4 0.5000 0.3680 0.3680  5 Ag 2.96-2.97, 8 Cd 3.03-3.12
Cd5 0.5000 0.0000 0.6320  5 Ag 2.96-2.97, 8 Cd 3.03-3.12
Cd6 0.0000 0.7011 0.7011  4 Ag 2.83-2.84, 8 Cd 3.03-3.12
Ag1 0.0000 0.3333 0.6667  9 Cd 2.83-2.97, 2 Ag 3.03
Ag2 0.0000 0.6667 0.3333  9 Cd 2.83-2.97, 2 Ag 3.03
Ag3 0.5000 0.0000 0.0000  9 Cd 2.84-2.96, 2 Ag 3.03

(2)
The following is a SCAN calculation of Cd2Ag at its PBEsol-relaxed geometry, from the Alexandria database.

Values from the calculation:
- ΔE_f (eV/atom) = -0.0412
- magnetization (μB per cell) = 0.000
- V (Å³/atom) = 18.758
- VASP energy (eV for the cell shown) = -184.64
- energy relative to the lowest polymorph listed for this composition (meV/atom) = 15

Cell: 3.0614 5.6557 6.9559 Å, 103.36 90.00 105.70°
Closest atoms and distances in Å follow each position.
Positions (direct):
Ag1 0.6674 0.3349 0.3338  8 Cd 2.85-3.03, 4 Ag 3.00-3.06
Ag2 0.9997 0.9993 0.0013  8 Cd 2.90-3.02, 4 Ag 3.00-3.06
Cd1 0.3893 0.7786 0.2713  5 Ag 2.90-2.98, 7 Cd 2.98-3.06
Cd2 0.3361 0.6723 0.6716  8 Cd 2.95-3.06, 4 Ag 2.97-3.03
Cd3 0.7163 0.4326 0.9499  4 Ag 2.85-3.02, 8 Cd 2.98-3.06
Cd4 0.0579 0.1158 0.6055  3 Ag 2.90-2.97, 9 Cd 2.95-3.06

(3)
The following is a SCAN calculation of CdAg3 at its PBEsol-relaxed geometry, from the Alexandria database.

Values from the calculation:
- ΔE_f (eV/atom) = -0.0479
- magnetization (μB per cell) = 0.000
- V (Å³/atom) = 17.179
- VASP energy (eV for the cell shown) = -249.41

Cell: 4.7846 5.7592 5.7592 Å, 120.00 90.00 90.00°
Closest atoms and distances in Å follow each position.
Positions (direct):
Ag1 0.7500 0.6691 0.8346  8 Ag 2.86-2.91, 4 Cd 2.88-2.92
Ag2 0.2500 0.8346 0.6691  8 Ag 2.86-2.91, 4 Cd 2.88-2.92
Ag3 0.7500 0.1654 0.3309  8 Ag 2.86-2.91, 4 Cd 2.88-2.92
Ag4 0.2500 0.3309 0.1654  8 Ag 2.86-2.91, 4 Cd 2.88-2.92
Ag5 0.2500 0.8346 0.1654  8 Ag 2.86-2.91, 4 Cd 2.88-2.92
Ag6 0.7500 0.1654 0.8346  8 Ag 2.86-2.91, 4 Cd 2.88-2.92
Cd1 0.7500 0.6667 0.3333  12 Ag 2.88-2.92
Cd2 0.2500 0.3333 0.6667  12 Ag 2.88-2.92

(4)
The following is a SCAN calculation of Cd2Ag3 at its PBEsol-relaxed geometry, from the Alexandria database.

Values from the calculation:
- ΔE_f (eV/atom) = -0.0242
- magnetization (μB per cell) = 0.000
- V (Å³/atom) = 17.792
- VASP energy (eV for the cell shown) = -155.05
- energy relative to the lowest polymorph listed for this composition (meV/atom) = 32

Cell: 2.9653 2.9653 11.8065 Å, 82.79 82.79 60.00°
Closest atoms and distances in Å follow each position.
Positions (direct):
Ag1 0.1989 0.1989 0.4032  9 Ag 2.84-2.97, 3 Cd 2.91
Ag2 0.8011 0.8011 0.5968  9 Ag 2.84-2.97, 3 Cd 2.91
Ag3 0.0000 0.0000 0.0000  6 Cd 2.92, 6 Ag 2.97
Cd1 0.5993 0.5993 0.2020  6 Ag 2.91-2.92, 6 Cd 2.97
Cd2 0.4007 0.4007 0.7980  6 Ag 2.91-2.92, 6 Cd 2.97

(5)
The following is a SCAN calculation of CdAg at its PBEsol-relaxed geometry, from the Alexandria database.

Values from the calculation:
- ΔE_f (eV/atom) = -0.0591
- magnetization (μB per cell) = 0.000
- V (Å³/atom) = 18.020
- VASP energy (eV for the cell shown) = -123.80

Cell: 4.1011 4.1011 5.1745 Å, 113.35 113.35 90.00°
Closest atoms and distances in Å follow each position.
Positions (direct):
Ag1 0.2500 0.7500 0.5000  8 Cd 2.90-2.97, 4 Ag 2.97
Ag2 0.0000 0.0000 0.0000  8 Cd 2.90-2.97, 4 Ag 2.97
Cd1 0.7500 0.2500 0.5000  8 Ag 2.90-2.97, 4 Cd 2.97
Cd2 0.5000 0.5000 0.0000  8 Ag 2.90-2.97, 4 Cd 2.97

(6)
The following is a SCAN calculation of CdAg at its PBEsol-relaxed geometry, from the Alexandria database.

Values from the calculation:
- ΔE_f (eV/atom) = -0.0151
- magnetization (μB per cell) = 0.000
- V (Å³/atom) = 18.214
- VASP energy (eV for the cell shown) = -123.62

Cell: 2.9476 2.9476 9.6828 Å, 90.00 90.00 120.00°
Closest atoms and distances in Å follow each position.
Positions (direct):
Ag1 0.3333 0.6667 0.8823  9 Ag 2.84-2.95, 3 Cd 2.93
Ag2 0.6667 0.3333 0.1177  9 Ag 2.84-2.95, 3 Cd 2.93
Cd1 0.6667 0.3333 0.6359  3 Ag 2.93, 9 Cd 2.95-3.13
Cd2 0.3333 0.6667 0.3641  3 Ag 2.93, 9 Cd 2.95-3.13